4
Lattice="5.055 0.000 0.000 0.000 5.004 0.000 -1.291 0.000 6.488" Properties=species:S:1:pos:R:3 comment="PBE K2InCo, optimized geometry" ef_ev_per_atom=0.582 dft_energy_ev_per_atom=-2.43 vol_a3_per_atom=41.03 spacegroup="P2/m, No. 10" crystal_system=monoclinic pbc="T T T"
K 0.561 0.000 1.866
K 3.203 0.000 4.622
In 2.528 2.502 0.000
Co 0.000 2.502 0.000